1.
Computed, not measured: a relaxed CoIr3I crystal at the PBEsol level of DFT.

Cell: 4.492 4.492 4.492 Å, 90.00 90.00 90.00°
Space group Pm-3m (No. 221)
Symmetry-distinct sites (fractional):
Co1 0.000 0.000 0.000
Ir1 0.000 0.000 0.500
I1 0.500 0.500 0.500

Calculated values
Raw formation energy in eV/atom: 1.668
DOS(E_F) in states/eV/cell: 6.997
Crystal system: cubic
E_tot in eV per atom: -6.13
Size of the total moment in μB per atom: 0.79

---

2.
Computed, not measured: a relaxed CoIrIN2 crystal at the PBEsol level of DFT.

Cell: 3.699 3.699 7.539 Å, 90.00 90.00 90.00°
Space group P4/mmm (No. 123)
Symmetry-distinct sites (fractional):
Co1 0.000 0.000 0.000
Ir1 0.500 0.500 0.500
I1 0.500 0.500 0.000
N1 0.000 0.500 0.500

Calculated values
Raw formation energy in eV/atom: 1.078
DOS(E_F) in states/eV/cell: 5.204
Crystal system: tetragonal
E_tot in eV per atom: -6.20
Size of the total moment in μB per atom: 0.40

---

3.
Computed, not measured: a relaxed KCoI2 crystal at the PBEsol level of DFT.

Cell: 7.633 7.633 7.633 Å, 90.00 90.00 90.00°
Space group Fm-3m (No. 225)
Symmetry-distinct sites (fractional):
K1 0.000 0.000 0.000
Co1 0.000 0.000 0.500
I1 0.250 0.250 0.250

Calculated values
Raw formation energy in eV/atom: 0.098
DOS(E_F) in states/eV/cell: 24.616
Crystal system: cubic
E_tot in eV per atom: -3.00
Size of the total moment in μB per atom: 0.51

---

4.
Computed, not measured: a relaxed KCoIN2 crystal at the PBEsol level of DFT.

Cell: 4.059 4.059 5.308 Å, 90.00 90.00 90.00°
Space group P4/mmm (No. 123)
Symmetry-distinct sites (fractional):
K1 0.000 0.000 0.000
Co1 0.500 0.500 0.500
I1 0.500 0.500 0.000
N1 0.000 0.500 0.500

Calculated values
Raw formation energy in eV/atom: 0.925
DOS(E_F) in states/eV/cell: 3.935
Crystal system: tetragonal
E_tot in eV per atom: -4.61
Size of the total moment in μB per atom: 0.79

---

5.
Computed, not measured: a relaxed KScCoI2 crystal at the PBEsol level of DFT.

Cell: 5.628 5.628 4.398 Å, 90.00 90.00 90.00°
Space group P4/mmm (No. 123)
Symmetry-distinct sites (fractional):
K1 0.000 0.000 0.000
Sc1 0.500 0.500 0.000
Co1 0.500 0.500 0.500
I1 0.000 0.500 0.500

Calculated values
Raw formation energy in eV/atom: -0.182
DOS(E_F) in states/eV/cell: 3.045
Crystal system: tetragonal
E_tot in eV per atom: -3.98
Size of the total moment in μB per atom: 0.00

---

6.
Computed, not measured: a relaxed K2CoSeI crystal at the PBEsol level of DFT.

Cell: 6.236 6.236 5.605 Å, 90.00 90.00 90.00°
Space group P4/mmm (No. 123)
Symmetry-distinct sites (fractional):
K1 0.000 0.500 0.000
Co1 0.000 0.000 0.500
Se1 0.500 0.500 0.000
I1 0.500 0.500 0.500

Calculated values
Raw formation energy in eV/atom: 0.353
DOS(E_F) in states/eV/cell: 11.091
Crystal system: tetragonal
E_tot in eV per atom: -2.77
Size of the total moment in μB per atom: 0.48

---

7.
Computed, not measured: a relaxed La2Co2I crystal at the PBEsol level of DFT.

Cell: 3.9718 3.9718 17.6630 Å, 90.00 90.00 120.00°
Space group P6_3/mmc (No. 194)
Symmetry-distinct sites (fractional):
La1 0.0000 0.0000 0.1054
Co1 0.3333 0.6667 0.0006
I1 0.3333 0.6667 0.2500

Calculated values
Raw formation energy in eV/atom: -0.612
DOS(E_F) in states/eV/cell: 11.159
Crystal system: hexagonal
E_tot in eV per atom: -6.20
Size of the total moment in μB per atom: 0.01

---

8.
Computed, not measured: a relaxed LaCo3I crystal at the PBEsol level of DFT.

Cell: 4.611 4.611 4.611 Å, 90.00 90.00 90.00°
Space group Pm-3m (No. 221)
Symmetry-distinct sites (fractional):
La1 0.000 0.000 0.000
Co1 0.000 0.000 0.500
I1 0.500 0.500 0.500

Calculated values
Raw formation energy in eV/atom: 1.533
DOS(E_F) in states/eV/cell: 10.077
Crystal system: cubic
E_tot in eV per atom: -4.53
Size of the total moment in μB per atom: 0.38

---

9.
Computed, not measured: a relaxed LaCo2I crystal at the PBEsol level of DFT.

Cell: 4.652 4.652 16.078 Å, 90.00 90.00 90.00°
Space group I-42d (No. 122)
Symmetry-distinct sites (fractional):
La1 0.000 0.000 0.000
Co1 0.063 0.250 0.625
I1 0.000 0.000 0.500

Calculated values
Raw formation energy in eV/atom: 0.237
DOS(E_F) in states/eV/cell: 12.156
Crystal system: tetragonal
E_tot in eV per atom: -5.41
Size of the total moment in μB per atom: 0.00

---

10.
Computed, not measured: a relaxed La7CoI12 crystal at the PBEsol level of DFT.

Cell: 15.8725 15.8725 10.6995 Å, 90.00 90.00 120.00°
Space group R3 (No. 146, hexagonal axes)
Symmetry-distinct sites (fractional):
La1 0.0000 0.0000 0.0000
La2 0.0435 0.1589 0.3463
La3 0.1591 0.1155 0.6507
Co1 0.0000 0.0000 0.4990
I1 0.0195 0.5870 0.1619
I2 0.0525 0.1911 0.8432
I3 0.0989 0.3528 0.1687
I4 0.1920 0.1394 0.1546

Calculated values
Raw formation energy in eV/atom: -1.275
DOS(E_F) in states/eV/cell: 42.759
Crystal system: trigonal
E_tot in eV per atom: -4.59
Size of the total moment in μB per atom: 0.05

---

11.
Computed, not measured: a relaxed LaCo2I2 crystal at the PBEsol level of DFT.

Cell: 4.000 4.000 12.673 Å, 90.00 90.00 90.00°
Space group I4/mmm (No. 139)
Symmetry-distinct sites (fractional):
La1 0.000 0.000 0.000
Co1 0.000 0.500 0.250
I1 0.000 0.000 0.366

Calculated values
Raw formation energy in eV/atom: -0.062
DOS(E_F) in states/eV/cell: 5.822
Crystal system: tetragonal
E_tot in eV per atom: -4.93
Size of the total moment in μB per atom: 0.30

---

12.
Computed, not measured: a relaxed Rb2La10Co2I17 crystal at the PBEsol level of DFT.

Cell: 13.622 18.879 9.659 Å, 90.00 94.56 90.00°
Space group C2/m (No. 12)
Symmetry-distinct sites (fractional):
Rb1 0.000 0.187 0.000
La1 0.070 0.500 0.669
La2 0.141 0.345 0.430
La3 0.165 0.000 0.436
La4 0.202 0.500 0.195
Co1 0.146 0.500 0.428
I1 0.000 0.500 0.000
I2 0.062 0.000 0.724
I3 0.073 0.327 0.739
I4 0.139 0.169 0.416
I5 0.215 0.000 0.123
I6 0.225 0.332 0.136

Calculated values
Raw formation energy in eV/atom: -1.248
DOS(E_F) in states/eV/cell: 17.610
Crystal system: monoclinic
E_tot in eV per atom: -4.51
Size of the total moment in μB per atom: 0.00

---

13.
Computed, not measured: a relaxed La2ZrCoI crystal at the PBEsol level of DFT.

Cell: 5.782 5.782 4.359 Å, 90.00 90.00 90.00°
Space group P4/mmm (No. 123)
Symmetry-distinct sites (fractional):
La1 0.000 0.500 0.000
Zr1 0.000 0.000 0.000
Co1 0.000 0.000 0.500
I1 0.500 0.500 0.500

Calculated values
Raw formation energy in eV/atom: 0.279
DOS(E_F) in states/eV/cell: 6.351
Crystal system: tetragonal
E_tot in eV per atom: -5.58
Size of the total moment in μB per atom: 0.09

---

14.
Computed, not measured: a relaxed Li2CoI crystal at the PBEsol level of DFT.

Cell: 6.521 6.521 6.521 Å, 90.00 90.00 90.00°
Space group Fm-3m (No. 225)
Symmetry-distinct sites (fractional):
Li1 0.250 0.250 0.250
Co1 0.000 0.000 0.000
I1 0.000 0.000 0.500

Calculated values
Raw formation energy in eV/atom: 0.278
DOS(E_F) in states/eV/cell: 11.456
Crystal system: cubic
E_tot in eV per atom: -3.08
Size of the total moment in μB per atom: 0.41

---

15.
Computed, not measured: a relaxed LiCoI2 crystal at the PBEsol level of DFT.

Cell: 7.122 7.122 7.122 Å, 90.00 90.00 90.00°
Space group Fm-3m (No. 225)
Symmetry-distinct sites (fractional):
Li1 0.000 0.000 0.000
Co1 0.000 0.000 0.500
I1 0.250 0.250 0.250

Calculated values
Raw formation energy in eV/atom: 0.146
DOS(E_F) in states/eV/cell: 16.446
Crystal system: cubic
E_tot in eV per atom: -3.16
Size of the total moment in μB per atom: 0.50

---

16.
Computed, not measured: a relaxed LiCoI2 crystal at the PBEsol level of DFT.

Cell: 6.135 6.135 11.840 Å, 90.00 90.00 90.00°
Space group I-42d (No. 122)
Symmetry-distinct sites (fractional):
Li1 0.000 0.000 0.000
Co1 0.000 0.000 0.500
I1 0.223 0.250 0.625

Calculated values
Raw formation energy in eV/atom: -0.300
DOS(E_F) in states/eV/cell: 13.349
Crystal system: tetragonal
E_tot in eV per atom: -3.61
Size of the total moment in μB per atom: 0.50

---

17.
Computed, not measured: a relaxed MgCo2I crystal at the PBEsol level of DFT.

Cell: 4.113 4.113 16.616 Å, 90.00 90.00 90.00°
Space group I-42d (No. 122)
Symmetry-distinct sites (fractional):
Mg1 0.000 0.000 0.000
Co1 0.177 0.250 0.625
I1 0.000 0.000 0.500

Calculated values
Raw formation energy in eV/atom: 0.693
DOS(E_F) in states/eV/cell: 11.947
Crystal system: tetragonal
E_tot in eV per atom: -4.05
Size of the total moment in μB per atom: 0.42

---

18.
Computed, not measured: a relaxed Mg2CoRuI crystal at the PBEsol level of DFT.

Cell: 5.000 5.000 4.854 Å, 90.00 90.00 90.00°
Space group P4/mmm (No. 123)
Symmetry-distinct sites (fractional):
Mg1 0.000 0.500 0.000
Co1 0.000 0.000 0.500
Ru1 0.500 0.500 0.000
I1 0.500 0.500 0.500

Calculated values
Raw formation energy in eV/atom: 1.041
DOS(E_F) in states/eV/cell: 5.435
Crystal system: tetragonal
E_tot in eV per atom: -3.58
Size of the total moment in μB per atom: 0.37

---

19.
Computed, not measured: a relaxed MgCoTeI2 crystal at the PBEsol level of DFT.

Cell: 5.241 5.241 4.941 Å, 90.00 90.00 90.00°
Space group P4/mmm (No. 123)
Symmetry-distinct sites (fractional):
Mg1 0.000 0.000 0.000
Co1 0.500 0.500 0.500
Te1 0.500 0.500 0.000
I1 0.000 0.500 0.500

Calculated values
Raw formation energy in eV/atom: 0.129
DOS(E_F) in states/eV/cell: 4.522
Crystal system: tetragonal
E_tot in eV per atom: -3.17
Size of the total moment in μB per atom: 0.16

---

20.
Computed, not measured: a relaxed MnCoI2O crystal at the PBEsol level of DFT.

Cell: 5.294 5.294 3.539 Å, 90.00 90.00 90.00°
Space group P4/mmm (No. 123)
Symmetry-distinct sites (fractional):
Mn1 0.000 0.000 0.000
Co1 0.500 0.500 0.500
I1 0.000 0.500 0.500
O1 0.500 0.500 0.000

Calculated values
Raw formation energy in eV/atom: 0.049
DOS(E_F) in states/eV/cell: 4.382
Crystal system: tetragonal
E_tot in eV per atom: -5.21
Size of the total moment in μB per atom: 1.27

---

21.
Computed, not measured: a relaxed CoMo2PtI crystal at the PBEsol level of DFT.

Cell: 4.391 4.391 4.780 Å, 90.00 90.00 90.00°
Space group P4/mmm (No. 123)
Symmetry-distinct sites (fractional):
Co1 0.000 0.000 0.000
Mo1 0.000 0.500 0.000
Pt1 0.500 0.500 0.500
I1 0.000 0.000 0.500

Calculated values
Raw formation energy in eV/atom: 1.491
DOS(E_F) in states/eV/cell: 6.070
Crystal system: tetragonal
E_tot in eV per atom: -6.51
Size of the total moment in μB per atom: 0.00

---

22.
Computed, not measured: a relaxed CoSbMoI2 crystal at the PBEsol level of DFT.

Cell: 5.154 5.154 4.793 Å, 90.00 90.00 90.00°
Space group P4/mmm (No. 123)
Symmetry-distinct sites (fractional):
Co1 0.000 0.000 0.000
Sb1 0.000 0.000 0.500
Mo1 0.500 0.500 0.500
I1 0.000 0.500 0.000

Calculated values
Raw formation energy in eV/atom: 1.114
DOS(E_F) in states/eV/cell: 5.092
Crystal system: tetragonal
E_tot in eV per atom: -4.41
Size of the total moment in μB per atom: 0.82

---

23.
Computed, not measured: a relaxed ZnCoMo2I crystal at the PBEsol level of DFT.

Cell: 4.821 4.821 4.828 Å, 90.00 90.00 90.00°
Space group P4/mmm (No. 123)
Symmetry-distinct sites (fractional):
Zn1 0.000 0.000 0.000
Co1 0.500 0.500 0.000
Mo1 0.000 0.500 0.500
I1 0.000 0.000 0.500

Calculated values
Raw formation energy in eV/atom: 2.492
DOS(E_F) in states/eV/cell: 7.971
Crystal system: tetragonal
E_tot in eV per atom: -4.43
Size of the total moment in μB per atom: 0.23

---

24.
Computed, not measured: a relaxed CoIN3 crystal at the PBEsol level of DFT.

Cell: 3.913 3.913 3.913 Å, 90.00 90.00 90.00°
Space group Pm-3m (No. 221)
Symmetry-distinct sites (fractional):
Co1 0.000 0.000 0.000
I1 0.500 0.500 0.500
N1 0.000 0.500 0.500

Calculated values
Raw formation energy in eV/atom: 2.389
DOS(E_F) in states/eV/cell: 4.273
Crystal system: cubic
E_tot in eV per atom: -4.63
Size of the total moment in μB per atom: 0.69

---

25.
Computed, not measured: a relaxed CoI3N crystal at the PBEsol level of DFT.

Cell: 5.210 5.210 5.210 Å, 90.00 90.00 90.00°
Space group Pm-3m (No. 221)
Symmetry-distinct sites (fractional):
Co1 0.000 0.000 0.000
I1 0.000 0.000 0.500
N1 0.500 0.500 0.500

Calculated values
Raw formation energy in eV/atom: 1.239
DOS(E_F) in states/eV/cell: 9.427
Crystal system: cubic
E_tot in eV per atom: -3.07
Size of the total moment in μB per atom: 0.92

---

26.
Computed, not measured: a relaxed NaCoIN2 crystal at the PBEsol level of DFT.

Cell: 4.265 4.265 5.818 Å, 90.00 90.00 90.00°
Space group P4/mmm (No. 123)
Symmetry-distinct sites (fractional):
Na1 0.000 0.000 0.000
Co1 0.500 0.500 0.500
I1 0.000 0.000 0.500
N1 0.000 0.500 0.000

Calculated values
Raw formation energy in eV/atom: 2.241
DOS(E_F) in states/eV/cell: 5.354
Crystal system: tetragonal
E_tot in eV per atom: -3.35
Size of the total moment in μB per atom: 1.41